# 1
DFT (PBE) results for a relaxed structure of MgSb12Ru4.

Results
- size of the total moment (μB per formula unit) = 0.0
- uncorrected formation energy (eV/f.u.) = -2.327

Geometry as CIF:
```
data_MgSb12Ru4
_chemical_formula_sum 'Mg2 Sb24 Ru8'
_cell_length_a 9.393
_cell_length_b 9.393
_cell_length_c 9.393
_cell_angle_alpha 90.00
_cell_angle_beta 90.00
_cell_angle_gamma 90.00
_symmetry_space_group_name_H-M 'I m -3'
_symmetry_Int_Tables_number 204
_symmetry_space_group_name_Hall '-I 2 2 3'
loop_
_atom_site_label
_atom_site_type_symbol
_atom_site_fract_x
_atom_site_fract_y
_atom_site_fract_z
Mg1 Mg 0.000 0.000 0.000
Sb1 Sb 0.000 0.156 0.338
Ru1 Ru 0.250 0.250 0.250
```

# 2
DFT (PBE) results for a relaxed structure of MgSbRu.

Results
- size of the total moment (μB per formula unit) = 0.0
- uncorrected formation energy (eV/f.u.) = -0.492

Geometry as CIF:
```
data_MgSbRu
_chemical_formula_sum 'Mg4 Sb4 Ru4'
_cell_length_a 4.299
_cell_length_b 4.504
_cell_length_c 12.763
_cell_angle_alpha 90.00
_cell_angle_beta 90.00
_cell_angle_gamma 90.00
_symmetry_space_group_name_H-M 'I m m 2'
_symmetry_Int_Tables_number 44
loop_
_symmetry_equiv_pos_as_xyz
'x,y,z'
'-x,-y,z'
'-x,y,z'
'x,-y,z'
'x+1/2,y+1/2,z+1/2'
'-x+1/2,-y+1/2,z+1/2'
'-x+1/2,y+1/2,z+1/2'
'x+1/2,-y+1/2,z+1/2'
loop_
_atom_site_label
_atom_site_type_symbol
_atom_site_fract_x
_atom_site_fract_y
_atom_site_fract_z
Mg1 Mg 0.000 0.000 0.000
Mg2 Mg 0.000 0.000 0.241
Sb1 Sb 0.000 0.000 0.487
Sb2 Sb 0.000 0.000 0.748
Ru1 Ru 0.000 0.500 0.126
Ru2 Ru 0.000 0.500 0.361
```

Question: Number 2 is which compound?
Answer: MgSbRu